Cr2InTc after structural relaxation. Source: Alexandria via LeMat-Bulk, functional PBE.

The structure belongs to space group R3m (No. 160, hexagonal axes); the cell edges are 2.8883, 2.8883 and 25.0047 Å and the angles 90.00°, 90.00° and 120.00°. The asymmetric unit holds Cr at (0.0000, 0.0000, 0.0000), Cr at (0.0000, 0.0000, 0.2680), In at (0.0000, 0.0000, 0.7613) and Tc at (0.0000, 0.0000, 0.5237).

As for the formation energy: 0.422 eV/atom. The value obtained for the calculated volume is 180.65 Å³/cell.